[1]
Compound: Na3GeMo
Source: Alexandria
Functional: PBE
Structure: relaxed

Properties
energy of formation from the pure elements	1445	meV per atom

Cell lengths 5.717, 5.717, 5.717 Å; angles 90.00, 90.00, 90.00 degrees
Sites, in units of the cell vectors:
Na1 0.000 0.000 0.500
Na2 0.000 0.500 0.000
Na3 0.500 0.000 0.000
Ge1 0.500 0.500 0.500
Mo1 0.000 0.000 0.000

[2]
Compound: HgOsPb
Source: Alexandria
Functional: PBE
Structure: relaxed

Properties
energy of formation from the pure elements	827	meV per atom

Cell lengths 6.533, 6.533, 6.533 Å; angles 90.00, 90.00, 90.00 degrees
Sites, in units of the cell vectors:
Hg1 0.000 0.000 0.000
Hg2 0.000 0.500 0.500
Hg3 0.500 0.000 0.500
Hg4 0.500 0.500 0.000
Os1 0.250 0.250 0.250
Os2 0.250 0.750 0.750
Os3 0.750 0.250 0.750
Os4 0.750 0.750 0.250
Pb1 0.000 0.000 0.500
Pb2 0.000 0.500 0.000
Pb3 0.500 0.000 0.000
Pb4 0.500 0.500 0.500

[3]
Compound: Dy6Tm12Sc
Source: Alexandria
Functional: PBE
Structure: relaxed

Properties
energy of formation from the pure elements	178	meV per atom

Cell lengths 8.400, 8.400, 8.400 Å; angles 91.86, 91.86, 91.86 degrees
Sites, in units of the cell vectors:
Dy1 0.228 0.379 0.761
Dy2 0.239 0.772 0.621
Dy3 0.379 0.761 0.228
Dy4 0.621 0.239 0.772
Dy5 0.761 0.228 0.379
Dy6 0.772 0.621 0.239
Tm1 0.026 0.965 0.291
Tm2 0.035 0.709 0.974
Tm3 0.128 0.445 0.354
Tm4 0.291 0.026 0.965
Tm5 0.354 0.128 0.445
Tm6 0.445 0.354 0.128
Tm7 0.555 0.646 0.872
Tm8 0.646 0.872 0.555
Tm9 0.709 0.974 0.035
Tm10 0.872 0.555 0.646
Tm11 0.965 0.291 0.026
Tm12 0.974 0.035 0.709
Sc1 0.500 0.500 0.500

[4]
Compound: DyIn5Pd6
Source: Alexandria
Functional: PBE
Structure: relaxed

Properties
energy of formation from the pure elements	-601	meV per atom

Cell lengths 4.703, 6.783, 7.326 Å; angles 90.00, 108.24, 90.00 degrees
Sites, in units of the cell vectors:
Dy1 0.000 0.000 0.000
In1 0.000 0.500 0.000
In2 0.335 0.000 0.667
In3 0.338 0.500 0.674
In4 0.662 0.500 0.326
In5 0.665 0.000 0.333
Pd1 0.169 0.257 0.341
Pd2 0.169 0.743 0.341
Pd3 0.500 0.257 0.000
Pd4 0.500 0.743 0.000
Pd5 0.831 0.257 0.659
Pd6 0.831 0.743 0.659

[5]
Compound: CaSc2TiSe
Source: Alexandria
Functional: PBE
Structure: relaxed

Properties
formation energy (no corrections)	-0.2478	eV/atom

Cell lengths 5.155, 5.155, 4.858 Å; angles 90.00, 90.00, 90.00 degrees
Sites, in units of the cell vectors:
Ca1 0.000 0.000 0.000
Sc1 0.000 0.500 0.500
Sc2 0.500 0.000 0.500
Ti1 0.500 0.500 0.000
Se1 0.500 0.500 0.500

[6]
Compound: TmZnNiAg
Source: Alexandria
Functional: PBE
Structure: relaxed

Properties
energy of formation from the pure elements	-219	meV per atom

Cell lengths 6.537, 6.537, 6.537 Å; angles 90.00, 90.00, 90.00 degrees
Sites, in units of the cell vectors:
Tm1 0.000 0.000 0.000
Tm2 0.000 0.500 0.500
Tm3 0.500 0.000 0.500
Tm4 0.500 0.500 0.000
Zn1 0.000 0.000 0.500
Zn2 0.000 0.500 0.000
Zn3 0.500 0.000 0.000
Zn4 0.500 0.500 0.500
Ni1 0.250 0.250 0.250
Ni2 0.250 0.750 0.750
Ni3 0.750 0.250 0.750
Ni4 0.750 0.750 0.250
Ag1 0.250 0.250 0.750
Ag2 0.250 0.750 0.250
Ag3 0.750 0.250 0.250
Ag4 0.750 0.750 0.750

[7]
Compound: NaPtF5
Source: Alexandria
Functional: PBE
Structure: relaxed

Properties
formation energy (no corrections)	-1.7548	eV/atom

Cell lengths 5.675, 5.675, 7.569 Å; angles 108.42, 108.42, 74.12 degrees
Sites, in units of the cell vectors:
Na1 0.020 0.980 0.750
Na2 0.980 0.020 0.250
Pt1 0.500 0.500 0.000
Pt2 0.500 0.500 0.500
F1 0.183 0.743 0.025
F2 0.216 0.323 0.372
F3 0.257 0.817 0.475
F4 0.323 0.216 0.872
F5 0.402 0.598 0.750
F6 0.598 0.402 0.250
F7 0.677 0.784 0.128
F8 0.743 0.183 0.525
F9 0.784 0.677 0.628
F10 0.817 0.257 0.975

[8]
Compound: La2Zn5Au3
Source: Alexandria
Functional: PBE
Structure: relaxed

Properties
energy of formation from the pure elements	-512	meV per atom

Cell lengths 8.887, 8.887, 8.887 Å; angles 104.93, 88.47, 140.26 degrees
Sites, in units of the cell vectors:
La1 0.128 0.227 0.355
La2 0.372 0.727 0.099
La3 0.628 0.273 0.901
La4 0.872 0.773 0.645
Zn1 0.035 0.750 0.285
Zn2 0.149 0.896 0.044
Zn3 0.250 0.750 0.500
Zn4 0.351 0.396 0.747
Zn5 0.465 0.750 0.715
Zn6 0.535 0.250 0.285
Zn7 0.649 0.604 0.253
Zn8 0.750 0.250 0.500
Zn9 0.851 0.104 0.956
Zn10 0.965 0.250 0.715
Au1 0.110 0.661 0.771
Au2 0.250 0.250 0.000
Au3 0.390 0.161 0.551
Au4 0.610 0.839 0.449
Au5 0.750 0.750 0.000
Au6 0.890 0.339 0.229

Fermi-level density of states, record by record: 2.720 7.973 39.440 4.327 7.437 12.626 7.279 10.095 states/eV per cell